U4CdGa12, optimized geometry, DFT PBE; SG = No. 229; ΔE_f = -171 meV per atom
1.0
-4.351 4.351 4.351
4.351 -4.351 4.351
4.351 4.351 -4.351
U Cd Ga
4 1 12
Direct
0.000 0.000 0.500 U
0.000 0.500 0.000 U
0.500 0.000 0.000 U
0.500 0.500 0.500 U
0.000 0.000 0.000 Cd
0.000 0.308 0.308 Ga
0.000 0.692 0.692 Ga
0.250 0.500 0.750 Ga
0.250 0.750 0.500 Ga
0.308 0.000 0.308 Ga
0.308 0.308 0.000 Ga
0.500 0.250 0.750 Ga
0.500 0.750 0.250 Ga
0.692 0.000 0.692 Ga
0.692 0.692 0.000 Ga
0.750 0.250 0.500 Ga
0.750 0.500 0.250 Ga